Computed, not measured: a relaxed structure of Ca2Ga3BiPt4 at the PBE level of DFT.

Lattice parameters (Å, degrees): 4.226 4.226 11.454 90.00 90.00 90.00
Fractional positions:
Pt  0.000  0.500  0.341
Pt  0.500  0.000  0.659
Pt  0.000  0.000  0.000
Pt  0.500  0.500  0.000
Ga  0.500  0.000  0.873
Ga  0.000  0.000  0.500
Ga  0.000  0.500  0.127
Bi  0.500  0.500  0.500
Ca  0.500  0.000  0.240
Ca  0.000  0.500  0.760

Output
Formation enthalpy at 0 K ... -744 meV/atom
ρ ... 10.38 Mg/m³
Total magnetization ... 0.00 Bohr magnetons per cell
Space-group type ... P-4m2 (115)